Entry 1:
{
  "formula": "CaMgFe",
  "functional": "GGA-PBE",
  "state": "optimized geometry",
  "lattice_angstrom": [[3.233, 0.000, 0.000], [-1.617, 2.800, 0.000], [0.000, 0.000, 7.361]],
  "species": ["Ca", "Mg", "Fe"],
  "fractional_positions": [[0.000, 0.000, 0.000], [0.667, 0.333, 0.599], [0.333, 0.667, 0.314]],
  "m_tot_mub_per_cell": 2.306,
  "mass_density_g_cm3": 3.0,
  "dft_energy_ev_per_atom": -3.494,
  "delta_e_f_mev_per_atom": 526
}



Entry 2:
{
  "formula": "CaMg2Fe",
  "functional": "GGA-PBE",
  "state": "optimized geometry",
  "lattice_angstrom": [[3.060, -4.735, 0.000], [3.060, 4.735, 0.000], [0.000, 0.000, 3.096]],
  "species": ["Ca", "Mg", "Mg", "Fe"],
  "fractional_positions": [[0.000, 0.000, 0.000], [0.000, 0.500, 0.500], [0.500, 0.000, 0.500], [0.500, 0.500, 0.000]],
  "m_tot_mub_per_cell": 2.643,
  "mass_density_g_cm3": 2.7,
  "dft_energy_ev_per_atom": -2.981,
  "delta_e_f_mev_per_atom": 433
}



Entry 3:
{
  "formula": "CaMg2Fe",
  "functional": "GGA-PBE",
  "state": "optimized geometry",
  "lattice_angstrom": [[-2.349, 2.349, 4.030], [2.349, -2.349, 4.030], [2.349, 2.349, -4.030]],
  "species": ["Ca", "Mg", "Mg", "Fe"],
  "fractional_positions": [[0.000, 0.000, 0.000], [0.500, 0.500, 0.000], [0.750, 0.250, 0.500], [0.250, 0.750, 0.500]],
  "m_tot_mub_per_cell": 2.474,
  "mass_density_g_cm3": 2.7,
  "dft_energy_ev_per_atom": -3.067,
  "delta_e_f_mev_per_atom": 346
}



Entry 4:
{
  "formula": "Ca3MgFe",
  "functional": "GGA-PBE",
  "state": "optimized geometry",
  "lattice_angstrom": [[5.399, 0.000, 0.000], [0.000, 5.399, 0.000], [0.000, 0.000, 5.399]],
  "species": ["Ca", "Ca", "Ca", "Mg", "Fe"],
  "fractional_positions": [[0.000, 0.000, 0.500], [0.000, 0.500, 0.000], [0.500, 0.000, 0.000], [0.500, 0.500, 0.500], [0.000, 0.000, 0.000]],
  "m_tot_mub_per_cell": 0.000,
  "mass_density_g_cm3": 2.1,
  "dft_energy_ev_per_atom": -2.776,
  "delta_e_f_mev_per_atom": 437
}



Entry 5:
{
  "formula": "CaMg2Fe",
  "functional": "GGA-PBE",
  "state": "optimized geometry",
  "lattice_angstrom": [[2.998, -5.244, 0.000], [2.998, 5.244, 0.000], [-1.186, 0.000, 2.845]],
  "species": ["Ca", "Mg", "Mg", "Fe"],
  "fractional_positions": [[0.000, 0.000, 0.000], [0.000, 0.500, 0.500], [0.500, 0.000, 0.500], [0.500, 0.500, 0.000]],
  "m_tot_mub_per_cell": 2.429,
  "mass_density_g_cm3": 2.7,
  "dft_energy_ev_per_atom": -2.995,
  "delta_e_f_mev_per_atom": 418
}



Entry 6:
{
  "formula": "CaMg2Fe",
  "functional": "GGA-PBE",
  "state": "optimized geometry",
  "lattice_angstrom": [[4.414, 0.000, 0.000], [0.000, 4.414, 0.000], [0.000, 0.000, 4.640]],
  "species": ["Ca", "Mg", "Mg", "Fe"],
  "fractional_positions": [[0.000, 0.000, 0.000], [0.000, 0.500, 0.500], [0.500, 0.000, 0.500], [0.500, 0.500, 0.000]],
  "m_tot_mub_per_cell": 2.351,
  "mass_density_g_cm3": 2.7,
  "dft_energy_ev_per_atom": -3.070,
  "delta_e_f_mev_per_atom": 344
}